Entry 1:
Here is Pm2Nd6SmMg after structural relaxation from Alexandria. Energies are from PBE.

Formation energy from the elements: 107 meV/atom

POSCAR file:
```
Pm2Nd6SmMg
1.0
-3.769 -7.070 -4.765
8.404 -2.365 -2.584
-3.130 -3.279 7.896
Pm Nd Sm Mg
4 12 2 2
Direct
0.449 0.786 0.677
0.051 0.323 0.214
0.551 0.214 0.323
0.949 0.677 0.786
0.055 0.139 0.783
0.445 0.217 0.861
0.945 0.861 0.217
0.555 0.783 0.139
0.294 0.005 0.429
0.206 0.571 0.995
0.706 0.995 0.571
0.794 0.429 0.005
0.102 0.725 0.497
0.398 0.503 0.275
0.898 0.275 0.503
0.602 0.497 0.725
0.250 0.975 0.025
0.750 0.025 0.975
0.250 0.422 0.578
0.750 0.578 0.422
```

Entry 2:
Here is VMo2Os after structural relaxation from Alexandria. Energies are from PBE.

Formation energy from the elements: -4 meV/atom

POSCAR file:
```
VMo2Os
1.0
4.389 0.000 0.000
2.194 3.801 0.000
2.194 1.267 3.583
Mo Os V
2 1 1
Direct
0.250 0.250 0.250
0.750 0.750 0.750
0.500 0.500 0.500
0.000 0.000 0.000
```

Entry 3:
Here is NdInAgPb after structural relaxation from Alexandria. Energies are from PBE.

Formation energy from the elements: -191 meV/atom

POSCAR file:
```
NdInAgPb
1.0
5.318 0.000 0.000
2.659 4.606 0.000
2.659 1.535 4.342
Pb Nd Ag In
1 1 1 1
Direct
0.250 0.250 0.250
0.750 0.750 0.750
0.000 0.000 0.000
0.500 0.500 0.500
```

Entry 4:
Here is ZrAs2Se after structural relaxation from Alexandria. Energies are from PBE.

Raw formation energy: 0.1025 eV per atom

POSCAR file:
```
ZrAs2Se
1.0
-5.038 -2.990 1.008
2.235 -4.722 -2.837
1.052 -6.087 4.732
As Se Zr
4 2 2
Direct
0.632 0.125 0.250
0.118 0.625 0.250
0.375 0.368 0.750
0.875 0.882 0.750
0.500 0.500 0.000
0.250 0.750 0.500
0.000 0.000 0.000
0.750 0.250 0.500
```

Entry 5:
Here is LaCN2O after structural relaxation from Alexandria. Energies are from PBE.

Raw formation energy: 1.9376 eV per atom

POSCAR file:
```
LaCN2O
1.0
-2.623 4.276 0.421
-0.731 0.042 -4.980
-3.626 -2.274 0.513
C N O La
1 2 1 1
Direct
0.500 0.500 0.500
0.000 0.500 0.000
0.500 0.000 0.000
0.000 0.000 0.500
0.000 0.000 0.000
```

Entry 6:
Here is Ti4BeAl after structural relaxation from Alexandria. Energies are from PBE.

Formation energy from the elements: -36 meV/atom

POSCAR file:
```
Ti4BeAl
1.0
7.119 0.000 0.000
0.000 5.157 -1.554
0.000 -3.727 6.316
Ti Be Al
8 2 2
Direct
0.250 0.940 0.190
0.250 0.440 0.190
0.885 0.763 0.263
0.385 0.737 0.737
0.615 0.263 0.263
0.115 0.237 0.737
0.750 0.560 0.810
0.750 0.060 0.810
0.500 0.500 0.000
0.000 0.000 0.000
0.000 0.500 0.500
0.500 0.000 0.500
```

Entry 7:
Here is Ta2AlRh after structural relaxation from Alexandria. Energies are from PBE.

Formation energy from the elements: -373 meV/atom

POSCAR file:
```
Ta2AlRh
1.0
-1.417 -3.670 -1.128
0.882 0.486 -2.688
5.798 -1.778 -1.500
Rh Al Ta
1 1 2
Direct
0.500 0.750 0.750
0.500 0.250 0.250
0.000 0.999 0.999
0.000 0.501 0.501
```

Entry 8:
Here is LiCl2 after structural relaxation from Alexandria. Energies are from PBE.

Raw formation energy: -1.0629 eV per atom

POSCAR file:
```
LiCl2
1.0
-3.180 -4.825 3.848
-5.603 3.432 2.243
3.058 -2.516 -5.703
Li Cl
2 4
Direct
0.417 0.667 0.750
0.583 0.333 0.250
0.637 0.887 0.750
0.363 0.113 0.250
0.030 0.280 0.750
0.970 0.720 0.250
```

Entry 9:
Here is Cs7BiH2Br2 after structural relaxation from Alexandria. Energies are from PBE.

Calculated total energy: -28.73 eV/cell

POSCAR file:
```
Cs7BiH2Br2
1.0
-1.769 3.845 -5.393
1.959 -5.133 -4.302
-11.777 -4.157 5.258
Cs Bi H Br
7 1 2 2
Direct
0.403 0.876 0.806
0.728 0.725 0.457
0.097 0.618 0.193
0.597 0.070 0.194
0.272 0.268 0.543
0.903 0.424 0.807
0.500 0.431 0.000
0.000 0.032 0.000
0.387 0.418 0.774
0.613 0.644 0.226
0.252 0.749 0.504
0.748 0.245 0.496
```

Entry 10:
Here is HfZr2Pb after structural relaxation from Alexandria. Energies are from PBE.

Formation energy from the elements: -26 meV/atom

POSCAR file:
```
HfZr2Pb
1.0
3.299 0.000 0.000
1.650 2.857 0.000
1.650 0.952 10.173
Pb Hf Zr
1 1 2
Direct
0.500 0.500 0.500
0.000 0.000 0.000
0.252 0.252 0.245
0.748 0.748 0.755
```

Entry 11:
Here is Na2Tl3TeS6 after structural relaxation from Alexandria. Energies are from PBE.

Raw formation energy: -0.3611 eV per atom

POSCAR file:
```
Na2Tl3TeS6
1.0
7.073 0.038 -0.025
-3.502 6.146 -0.025
-1.217 -2.107 6.552
Na Tl Te S
2 3 1 6
Direct
0.337 0.663 0.000
0.663 0.337 0.000
0.175 0.825 0.500
0.825 0.175 0.500
0.500 0.500 0.500
0.000 0.000 0.000
0.917 0.603 0.768
0.776 0.776 0.242
0.083 0.397 0.232
0.603 0.917 0.768
0.224 0.224 0.758
0.397 0.083 0.232
```

Entry 12:
Here is Tb3ThCu2 after structural relaxation from Alexandria. Energies are from PBE.

Formation energy from the elements: -136 meV/atom

POSCAR file:
```
Tb3ThCu2
1.0
-1.543 -2.915 1.230
3.138 -1.236 1.007
-1.366 5.224 10.670
Tb Th Cu
3 1 2
Direct
0.000 0.000 0.000
0.000 0.000 0.711
0.000 0.000 0.289
0.500 0.500 0.500
0.500 0.500 0.857
0.500 0.500 0.143
```